# 1
The following is a PBE calculation of a relaxed structure of BaPt3, from Alexandria.

Properties
Energy relative to the elements   -0.048 eV per atom
Size of the total moment   0.0 μB/f.u.

abc: 3.0536 4.5887 6.3214
angles: 90.00 101.82 90.00
Closest atoms and distances in Å follow each position.
Space group P2/m (No. 10)
Unique sites:
Ba (0.0000, 0.0000, 0.0000) [1 per cell]  2 Ba 3.05, 6 Pt 3.22-3.31
Pt (0.3179, 0.5000, 0.6861) [2 per cell]  4 Pt 2.69-2.80
Pt (0.5000, 0.0000, 0.5000) [1 per cell]  4 Pt 2.69



# 2
The following is a PBE calculation of a relaxed structure of BaPt2, from Alexandria.

Properties
Energy relative to the elements   -0.297 eV per atom
Size of the total moment   0.0 μB/f.u.

abc: 5.8324 6.0861 8.7980
angles: 90.00 90.00 90.00
Closest atoms and distances in Å follow each position.
Space group Pnma (No. 62)
Unique sites:
Ba (0.2480, 0.2500, 0.1011) [4 per cell]  6 Pt 3.05-3.42
Pt (0.0023, 0.7500, 0.2501) [4 per cell]  4 Pt 2.62-2.92
Pt (0.2478, 0.2500, 0.5022) [4 per cell]  2 Pt 2.62



# 3
The following is a PBE calculation of a relaxed structure of BaPt2, from Alexandria.

Properties
Energy relative to the elements   -0.739 eV per atom
Size of the total moment   0.0 μB/f.u.

abc: 8.0745 8.0745 8.0745
angles: 90.00 90.00 90.00
Closest atoms and distances in Å follow each position.
Space group Fd-3m (No. 227, origin choice 2)
Unique sites:
Ba (0.1250, 0.1250, 0.1250) [8 per cell]  12 Pt 3.35, 4 Ba 3.50
Pt (0.0000, 0.0000, 0.5000) [16 per cell]  6 Pt 2.85



# 4
The following is a PBE calculation of a relaxed structure of BaPt3, from Alexandria.

Properties
Energy relative to the elements   0.048 eV per atom
Size of the total moment   0.0 μB/f.u.

abc: 4.4218 4.4218 8.4823
angles: 90.00 90.00 90.00
Closest atoms and distances in Å follow each position.
Space group I4/mmm (No. 139)
Unique sites:
Ba (0.0000, 0.0000, 0.0000) [2 per cell]  12 Pt 3.06-3.13
Pt (0.0000, 0.0000, 0.5000) [2 per cell]  8 Pt 3.06, 4 Ba 3.13
Pt (0.0000, 0.5000, 0.2500) [4 per cell]  4 Ba 3.06, 8 Pt 3.06-3.13



# 5
The following is a PBE calculation of a relaxed structure of BaPt2, from Alexandria.

Properties
Energy relative to the elements   0.323 eV per atom
Size of the total moment   0.0 μB/f.u.

abc: 7.2782 7.2782 7.2782
angles: 90.00 90.00 90.00
Closest atoms and distances in Å follow each position.
Space group Pa-3 (No. 205)
Unique sites:
Ba (0.0000, 0.0000, 0.0000) [4 per cell]  6 Pt 3.09
Pt (0.0990, 0.5990, 0.9010) [8 per cell]  1 Pt 2.50



# 6
The following is a PBE calculation of a relaxed structure of BaPt2, from Alexandria.

Properties
Energy relative to the elements   -0.360 eV per atom
Size of the total moment   0.0 μB/f.u.

abc: 8.3339 4.2129 10.6051
angles: 90.00 97.09 90.00
Closest atoms and distances in Å follow each position.
Space group C2/m (No. 12)
Unique sites:
Ba (0.1746, 0.0000, 0.2161) [4 per cell]  5 Pt 3.09-3.43
Pt (0.0194, 0.5000, 0.3769) [4 per cell]  6 Pt 2.67-2.92
Pt (0.1586, 0.0000, 0.5477) [4 per cell]  8 Pt 2.70-2.92



# 7
The following is a PBE calculation of a relaxed structure of BaPt3, from Alexandria.

Properties
Energy relative to the elements   -0.096 eV per atom
Size of the total moment   0.0 μB/f.u.

abc: 2.9968 3.8836 7.2678
angles: 90.00 90.00 90.00
Closest atoms and distances in Å follow each position.
Space group Pmmm (No. 47)
Unique sites:
Ba (0.0000, 0.0000, 0.0000) [1 per cell]  2 Ba 3.00, 8 Pt 3.34
Pt (0.0000, 0.0000, 0.5000) [1 per cell]  10 Pt 2.81-3.00
Pt (0.5000, 0.5000, 0.3125) [2 per cell]  7 Pt 2.73-3.00



# 8
The following is a PBE calculation of a relaxed structure of BaPt3, from Alexandria.

Properties
Energy relative to the elements   0.089 eV per atom
Size of the total moment   0.0 μB/f.u.

abc: 6.9488 6.9488 6.9488
angles: 90.00 90.00 90.00
Closest atoms and distances in Å follow each position.
Space group Fm-3m (No. 225)
Unique sites:
Ba (0.0000, 0.0000, 0.0000) [4 per cell]  8 Pt 3.01
Pt (0.0000, 0.0000, 0.5000) [4 per cell]  8 Pt 3.01
Pt (0.2500, 0.2500, 0.2500) [8 per cell]  4 Ba 3.01, 4 Pt 3.01



# 9
The following is a PBE calculation of a relaxed structure of BaPt3, from Alexandria.

Properties
Energy relative to the elements   -0.465 eV per atom
Size of the total moment   0.0 μB/f.u.

abc: 8.1034 7.2190 6.1980
angles: 90.00 90.00 90.00
Closest atoms and distances in Å follow each position.
Space group Pnma (No. 62)
Unique sites:
Ba (0.0243, 0.2500, 0.1228) [4 per cell]  11 Pt 3.19-3.57
Pt (0.1437, 0.7500, 0.3452) [4 per cell]  6 Pt 2.69-2.76
Pt (0.1480, 0.0634, 0.5795) [8 per cell]  5 Pt 2.69-2.76



# 10
The following is a PBE calculation of a relaxed structure of BaPt3, from Alexandria.

Properties
Energy relative to the elements   0.011 eV per atom
Size of the total moment   0.0 μB/f.u.

abc: 6.2065 8.4421 3.1063
angles: 90.00 90.00 90.00
Closest atoms and distances in Å follow each position.
Space group Cmmm (No. 65)
Unique sites:
Ba (0.0000, 0.0000, 0.0000) [2 per cell]  10 Pt 3.05-3.10, 2 Ba 3.11
Pt (0.0000, 0.5000, 0.0000) [2 per cell]  10 Pt 3.05-3.11, 2 Ba 3.10
Pt (0.2500, 0.2500, 0.5000) [4 per cell]  4 Ba 3.05, 8 Pt 3.05-3.11



# 11
The following is a PBE calculation of a relaxed structure of Ba7Pt6, from Alexandria.

Properties
Energy relative to the elements   0.029 eV per atom
Size of the total moment   0.0 μB/f.u.

abc: 8.0320 8.0320 25.0331
angles: 90.00 90.00 120.00
Closest atoms and distances in Å follow each position.
Space group R-3m (No. 166, hexagonal axes)
Unique sites:
Ba (0.0000, 0.0000, 0.0000) [3 per cell]  6 Ba 3.39
Ba (0.0358, 0.5179, 0.4215) [18 per cell]  3 Pt 3.03-3.23, 1 Ba 3.39
Pt (0.0000, 0.0000, 0.1522) [6 per cell]  6 Ba 3.03-3.11
Pt (0.0000, 0.0000, 0.3444) [6 per cell]  1 Pt 2.62
Pt (0.0000, 0.0000, 0.4492) [6 per cell]  2 Pt 2.54-2.62



# 12
The following is a PBE calculation of a relaxed structure of Ba5Pt2, from Alexandria.

Properties
Energy relative to the elements   -0.527 eV per atom
Size of the total moment   0.0 μB/f.u.

abc: 18.7556 7.5308 8.3783
angles: 90.00 96.98 90.00
Closest atoms and distances in Å follow each position.
Space group C2/c (No. 15)
Unique sites:
Ba (0.0000, 0.0643, 0.2500) [4 per cell]  4 Pt 3.36-3.46
Ba (0.0935, 0.4102, 0.9108) [8 per cell]  2 Pt 3.20-3.23
Ba (0.2119, 0.0766, 0.3205) [8 per cell]  2 Pt 3.21-3.33
Pt (0.1127, 0.2067, 0.5836) [8 per cell]  6 Ba 3.20-3.46



# 13
The following is a PBE calculation of a relaxed structure of BaPt3, from Alexandria.

Properties
Energy relative to the elements   -0.106 eV per atom
Size of the total moment   0.0 μB/f.u.

abc: 3.6875 4.0712 6.2009
angles: 90.00 90.00 90.00
Closest atoms and distances in Å follow each position.
Space group Pmm2 (No. 25)
Unique sites:
Ba (0.0000, 0.0000, 0.0000) [1 per cell]  8 Pt 3.18-3.42
Pt (0.0000, 0.5000, 0.4156) [1 per cell]  6 Pt 2.74-2.76
Pt (0.5000, 0.0000, 0.4652) [1 per cell]  6 Pt 2.66-2.76
Pt (0.5000, 0.5000, 0.7422) [1 per cell]  4 Pt 2.66-2.74



# 14
The following is a PBE calculation of a relaxed structure of Ba6Pt, from Alexandria.

Properties
Energy relative to the elements   -0.309 eV per atom
Size of the total moment   0.0 μB/f.u.

abc: 14.9581 13.7064 7.8914
angles: 90.00 90.00 90.00
Closest atoms and distances in Å follow each position.
Space group Pnma (No. 62)
Unique sites:
Ba (0.0021, 0.2500, 0.2364) [4 per cell]  1 Pt 3.13
Ba (0.0064, 0.0875, 0.7509) [8 per cell]  1 Pt 3.14
Ba (0.2451, 0.0879, 0.0819) [8 per cell]  1 Pt 3.14
Ba (0.2493, 0.2500, 0.5959) [4 per cell]  1 Pt 3.14
Pt (0.1253, 0.2500, 0.9164) [4 per cell]  6 Ba 3.13-3.14



# 15
The following is a PBE calculation of a relaxed structure of BaPt7, from Alexandria.

Properties
Energy relative to the elements   0.079 eV per atom
Size of the total moment   0.0 μB/f.u.

abc: 8.2860 8.2860 8.2860
angles: 90.00 90.00 90.00
Closest atoms and distances in Å follow each position.
Space group Fm-3m (No. 225)
Unique sites:
Ba (0.0000, 0.0000, 0.0000) [4 per cell]  12 Pt 2.93
Pt (0.0000, 0.0000, 0.5000) [4 per cell]  12 Pt 2.93
Pt (0.0000, 0.2500, 0.2500) [24 per cell]  2 Ba 2.93, 10 Pt 2.93



# 16
The following is a PBE calculation of a relaxed structure of Ba5Pt4, from Alexandria.

Properties
Relative energy among the computed polymorphs   0.000 eV per atom
Energy relative to the elements   -0.613 eV per atom
Size of the total moment   0.0 μB/f.u.

abc: 9.2834 9.2834 8.0879
angles: 90.00 90.00 120.00
Closest atoms and distances in Å follow each position.
Space group P6_3/mcm (No. 193)
Unique sites:
Ba (0.0000, 0.2543, 0.2500) [6 per cell]  5 Pt 3.11-3.30
Ba (0.3333, 0.6667, 0.0000) [4 per cell]  6 Pt 3.47
Pt (0.0000, 0.0000, 0.0000) [2 per cell]  6 Ba 3.11
Pt (0.0000, 0.4058, 0.7500) [6 per cell]  7 Ba 3.16-3.47



# 17
The following is a PBE calculation of a relaxed structure of Ba4Pt5, from Alexandria.

Properties
Relative energy among the computed polymorphs   0.047 eV per atom
Energy relative to the elements   -0.274 eV per atom
Size of the total moment   0.5 μB/f.u.

abc: 10.6662 10.6662 4.6375
angles: 90.00 90.00 90.00
Closest atoms and distances in Å follow each position.
Space group I4/mmm (No. 139)
Unique sites:
Ba (0.0000, 0.2825, 0.0000) [8 per cell]  5 Pt 3.01-3.15
Pt (0.0000, 0.0000, 0.0000) [2 per cell]  4 Ba 3.01, 8 Pt 3.08
Pt (0.1344, 0.1344, 0.5000) [8 per cell]  4 Pt 2.87-3.08, 4 Ba 3.15



# 18
The following is a PBE calculation of a relaxed structure of BaPt2, from Alexandria.

Properties
Energy relative to the elements   -0.197 eV per atom
Size of the total moment   0.2 μB/f.u.

abc: 3.9149 22.6033 3.9552
angles: 90.00 90.00 90.00
Closest atoms and distances in Å follow each position.
Space group Cmcm (No. 63)
Unique sites:
Ba (0.0000, 0.1533, 0.2500) [4 per cell]  4 Pt 3.05-3.18
Pt (0.0000, 0.0505, 0.7500) [4 per cell]  8 Pt 2.79-3.02, 2 Ba 3.05
Pt (0.0000, 0.4579, 0.7500) [4 per cell]  8 Pt 2.75-2.87



# 19
The following is a PBE calculation of a relaxed structure of Ba4Pt5, from Alexandria.

Properties
Relative energy among the computed polymorphs   0.000 eV per atom
Energy relative to the elements   -0.320 eV per atom
Size of the total moment   0.0 μB/f.u.

abc: 9.5204 9.5204 6.4030
angles: 90.00 90.00 120.00
Closest atoms and distances in Å follow each position.
Space group P6_3/mcm (No. 193)
Unique sites:
Ba (0.0000, 0.0000, 0.0000) [2 per cell]  6 Pt 3.17, 2 Ba 3.20
Ba (0.0000, 0.3804, 0.2500) [6 per cell]  9 Pt 3.16-3.38
Pt (0.0000, 0.2880, 0.7500) [6 per cell]  7 Ba 3.16-3.32
Pt (0.3333, 0.6667, 0.0000) [4 per cell]  2 Pt 3.20, 6 Ba 3.38



# 20
The following is a PBE calculation of a relaxed structure of BaPt2, from Alexandria.

Properties
Energy relative to the elements   -0.265 eV per atom
Size of the total moment   0.0 μB/f.u.

abc: 3.8431 19.1566 4.4531
angles: 90.00 90.00 90.00
Closest atoms and distances in Å follow each position.
Space group Cmcm (No. 63)
Unique sites:
Ba (0.0000, 0.1177, 0.2500) [4 per cell]  10 Pt 3.21-3.44
Pt (0.0000, 0.2480, 0.7500) [4 per cell]  4 Pt 2.94, 2 Ba 3.21
Pt (0.0000, 0.4750, 0.2500) [4 per cell]  2 Pt 2.42



# 21
The following is a PBE calculation of a relaxed structure of BaPt3, from Alexandria.

Properties
Energy relative to the elements   0.107 eV per atom
Size of the total moment   0.0 μB/f.u.

abc: 4.0189 4.0189 7.1860
angles: 90.00 90.00 120.00
Closest atoms and distances in Å follow each position.
Space group P-6m2 (No. 187)
Unique sites:
Ba (0.0000, 0.0000, 0.0000) [1 per cell]  8 Pt 3.24-3.59
Pt (0.0000, 0.0000, 0.5000) [1 per cell]  6 Pt 2.68
Pt (0.3333, 0.6667, 0.3145) [2 per cell]  4 Pt 2.67-2.68



# 22
The following is a PBE calculation of a relaxed structure of BaPt5, from Alexandria.

Properties
Relative energy among the computed polymorphs   0.000 eV per atom
Energy relative to the elements   -0.495 eV per atom
Size of the total moment   0.0 μB/f.u.

abc: 5.6372 5.6372 4.3430
angles: 90.00 90.00 120.00
Closest atoms and distances in Å follow each position.
Space group P6/mmm (No. 191)
Unique sites:
Ba (0.0000, 0.0000, 0.0000) [1 per cell]  18 Pt 3.25-3.56
Pt (0.0000, 0.5000, 0.5000) [3 per cell]  8 Pt 2.71-2.82
Pt (0.3333, 0.6667, 0.0000) [2 per cell]  6 Pt 2.71



# 23
The following is a PBE calculation of a relaxed structure of BaPt5, from Alexandria.

Properties
Relative energy among the computed polymorphs   0.467 eV per atom
Energy relative to the elements   -0.028 eV per atom
Size of the total moment   0.0 μB/f.u.

abc: 4.4144 2.9952 18.0446
angles: 90.00 90.00 90.00
Closest atoms and distances in Å follow each position.
Space group Amm2 (No. 38)
Unique sites:
Ba (0.0000, 0.0000, 0.0000) [2 per cell]  2 Ba 3.00, 6 Pt 3.26-3.32
Pt (0.0000, 0.0000, 0.3120) [2 per cell]  10 Pt 2.68-3.00
Pt (0.0000, 0.0000, 0.6691) [2 per cell]  10 Pt 2.73-3.00
Pt (0.5000, 0.0000, 0.1372) [2 per cell]  8 Pt 2.73-3.00
Pt (0.5000, 0.0000, 0.3964) [2 per cell]  6 Pt 2.68-3.00
Pt (0.5000, 0.0000, 0.7681) [2 per cell]  12 Pt 2.76-3.00